A plane-wave DFT calculation with PBE-GGA was carried out for a relaxed structure of BeAl2Br.

## Properties
**Symmetry**: No. 119
**N(E_F)**: 0.442 states/eV per atom
**Formation energy (no corrections)**: 0.630 eV/atom
**Energy above the most stable polymorph in this dataset**: 0.472 eV/atom

The structure in CIF format:
```
data_BeAl2Br
_chemical_formula_sum 'Be1 Al2 Br1'
_cell_length_a 5.765
_cell_length_b 5.765
_cell_length_c 5.765
_cell_angle_alpha 139.93
_cell_angle_beta 139.93
_cell_angle_gamma 57.95
_space_group_name_H-M_alt 'P 1'
_space_group_IT_number 1
loop_
_space_group_symop_operation_xyz
'x,y,z'
loop_
_atom_site_label
_atom_site_type_symbol
_atom_site_fract_x
_atom_site_fract_y
_atom_site_fract_z
_atom_site_occupancy
Al1 Al 0.000 0.000 0.000 1
Al2 Al 0.250 0.750 0.500 1
Br1 Br 0.750 0.250 0.500 1
Be1 Be 0.500 0.500 0.000 1
```

---

A plane-wave DFT calculation with PBE-GGA was carried out for a relaxed structure of BeAlBr.

## Properties
**Symmetry**: No. 1
**N(E_F)**: 0.044 states/eV per atom
**Formation energy (no corrections)**: -0.134 eV/atom
**Energy above the most stable polymorph in this dataset**: 0.034 eV/atom

The structure in CIF format:
```
data_BeAlBr
_chemical_formula_sum 'Be2 Al2 Br2'
_cell_length_a 4.715
_cell_length_b 4.751
_cell_length_c 8.413
_cell_angle_alpha 90.24
_cell_angle_beta 90.47
_cell_angle_gamma 119.67
_space_group_name_H-M_alt 'P 1'
_space_group_IT_number 1
loop_
_space_group_symop_operation_xyz
'x,y,z'
loop_
_atom_site_label
_atom_site_type_symbol
_atom_site_fract_x
_atom_site_fract_y
_atom_site_fract_z
_atom_site_occupancy
Br1 Br 0.389 0.877 0.292 1
Br2 Br 0.062 0.225 0.680 1
Be1 Be 0.613 0.062 0.045 1
Be2 Be 0.619 0.562 0.003 1
Al1 Al 0.119 0.061 0.934 1
Al2 Al 0.118 0.560 0.051 1
```

---

A plane-wave DFT calculation with PBE-GGA was carried out for a relaxed structure of BeAlBr.

## Properties
**Symmetry**: No. 1
**N(E_F)**: 0.116 states/eV per atom
**Formation energy (no corrections)**: 0.071 eV/atom
**Energy above the most stable polymorph in this dataset**: 0.239 eV/atom

The structure in CIF format:
```
data_BeAlBr
_chemical_formula_sum 'Be1 Al1 Br1'
_cell_length_a 3.393
_cell_length_b 3.397
_cell_length_c 5.747
_cell_angle_alpha 103.69
_cell_angle_beta 103.97
_cell_angle_gamma 96.47
_space_group_name_H-M_alt 'P 1'
_space_group_IT_number 1
loop_
_space_group_symop_operation_xyz
'x,y,z'
loop_
_atom_site_label
_atom_site_type_symbol
_atom_site_fract_x
_atom_site_fract_y
_atom_site_fract_z
_atom_site_occupancy
Be1 Be 0.102 0.249 0.990 1
Al1 Al 0.529 0.677 0.831 1
Br1 Br 0.174 0.307 0.382 1
```